1.
Material: GeTe2C
Method: DFT, PBE
State: optimized geometry

Properties
* distance to the lowest polymorph of the same formula: 146 meV per atom
* SG: No. 166
* total magnetic moment: 0.000 μB per atom

Geometry as POSCAR:
```
GeTe2C
1.0
1.660 0.959 9.167
-1.660 0.959 9.167
0.000 -1.917 9.167
Ge Te C
1 2 1
Cartesian
0.000 0.000 0.000
0.000 0.000 3.010
0.000 0.000 24.489
0.000 0.000 13.750
```


2.
Material: RbCuAs
Method: DFT, PBE
State: optimized geometry

Properties
* distance to the lowest polymorph of the same formula: 0 meV per atom
* SG: No. 156
* energy of formation from the pure elements: -0.204 eV/atom
* total magnetic moment: 0.000 μB per atom

Geometry as POSCAR:
```
RbCuAs
1.0
4.109 0.000 0.000
-2.054 3.558 0.000
0.000 0.000 5.609
Rb Cu As
1 1 1
Cartesian
0.000 0.000 0.000
0.000 2.372 2.795
2.054 1.186 2.805
```


3.
Material: GdDyMgOs
Method: DFT, PBE
State: optimized geometry

Properties
* SG: No. 216
* energy of formation from the pure elements: -0.121 eV/atom
* total magnetic moment: 1.772 μB per atom

Geometry as POSCAR:
```
GdDyMgOs
1.0
0.000 3.546 3.546
3.546 0.000 3.546
3.546 3.546 0.000
Gd Dy Mg Os
1 1 1 1
Cartesian
0.000 0.000 0.000
3.546 3.546 3.546
5.318 5.318 5.318
1.773 1.773 1.773
```


4.
Material: KLi2CdI6
Method: DFT, PBE
State: optimized geometry

Properties
* SG: No. 15
* raw total energy: -48.06 eV for the cell shown
* total magnetic moment: 0.101 μB per atom

Geometry as POSCAR:
```
KLi2CdI6
1.0
7.688 -8.030 0.000
7.688 8.030 0.000
-4.248 0.000 7.909
K Li Cd I
2 4 2 12
Cartesian
4.502 6.160 5.932
6.626 -6.160 1.977
1.347 1.357 7.075
3.471 -1.357 3.120
7.656 1.357 4.789
9.781 -1.357 0.834
6.626 5.274 1.977
4.502 -5.274 5.932
-0.948 0.995 5.507
2.038 4.015 7.406
1.176 -0.995 1.552
3.147 0.602 5.040
6.965 4.015 4.457
5.271 -0.602 1.086
5.856 0.602 6.823
4.162 -4.015 3.452
7.981 -0.602 2.869
9.951 0.995 6.357
9.089 -4.015 0.503
12.076 -0.995 2.402
```


5.
Material: Zr2ZnAs
Method: DFT, PBE
State: optimized geometry

Properties
* SG: No. 47
* energy of formation from the pure elements: -0.497 eV/atom
* total magnetic moment: 0.000 μB per atom

Geometry as POSCAR:
```
Zr2ZnAs
1.0
3.882 0.000 0.000
0.000 4.191 0.000
0.000 0.000 4.631
Zr Zn As
2 1 1
Cartesian
0.000 0.000 0.000
0.000 2.095 2.316
1.941 0.000 2.316
1.941 2.095 0.000
```


6.
Material: Tb5Sc4In
Method: DFT, PBE
State: optimized geometry

Properties
* SG: No. 79
* energy of formation from the pure elements: 0.249 eV/atom
* total magnetic moment: 0.000 μB per atom

Geometry as POSCAR:
```
Tb5Sc4In
1.0
-4.981 4.981 3.005
4.981 -4.981 3.005
4.981 4.981 -3.005
Tb Sc In
5 4 1
Cartesian
0.000 0.000 0.000
6.451 2.551 -1.049
2.551 3.510 -1.049
2.429 1.471 1.956
-1.471 2.429 1.956
4.438 -1.360 1.920
5.523 1.360 1.920
1.360 4.438 1.920
-1.360 5.523 1.920
0.000 0.000 3.157
```